No. 1
AgB3Sb (PBE, relaxed); formation energy from raw total energies = 1.955 eV per atom; DOS at the Fermi energy = 2.0 states/eV/f.u.; ΔE to the lowest computed polymorph = 0 kJ/mol of formula units; mass density = 5.44 g/cm3
1.0
-1.913 -0.220 3.855
3.445 -2.041 1.593
1.745 3.789 1.082
B Ag Sb
3 1 1
direct
0.000 0.500 0.000
0.000 0.000 0.500
0.500 0.000 0.000
0.000 0.000 0.000
0.500 0.500 0.500

No. 2
Ba12SnPd6 (PBE, relaxed); DOS at the Fermi energy = 16.0 states/eV/f.u.; mass density = 5.27 g/cm3; E_form = -0.4293 eV per atom
1.0
9.949 0.000 0.000
-3.316 9.380 0.000
-3.316 -4.690 8.123
Ba Sn Pd
12 1 6
direct
0.487 0.180 0.307
0.513 0.820 0.693
0.693 0.513 0.820
0.693 0.873 0.180
0.127 0.820 0.307
0.180 0.307 0.487
0.307 0.487 0.180
0.820 0.693 0.513
0.820 0.307 0.127
0.307 0.127 0.820
0.873 0.180 0.693
0.180 0.693 0.873
0.000 0.000 0.000
0.380 0.500 0.880
0.880 0.380 0.500
0.120 0.620 0.500
0.620 0.500 0.120
0.500 0.880 0.380
0.500 0.120 0.620

No. 3
K2GaSn3Pt4 (PBE, relaxed); DOS at the Fermi energy = 3.2 states/eV/f.u.; mass density = 9.07 g/cm3; E_form = -0.4911 eV per atom
1.0
-2.719 3.352 1.986
1.283 -1.516 4.316
8.063 6.590 -0.083
Pt Sn K Ga
4 3 2 1
direct
0.000 0.500 0.383
0.500 0.500 0.000
0.500 0.000 0.617
0.000 0.000 0.000
0.000 0.500 0.123
0.500 0.000 0.877
0.000 0.000 0.500
0.000 0.500 0.753
0.500 0.000 0.247
0.500 0.500 0.500

Which value of DOS at the Fermi energy does entry 1 give? 2.0 states/eV/f.u.

mass density of number 1 (AgB3Sb)? 5.44 g/cm3

Please write out number 2 again, unchanged.
Ba12SnPd6 (PBE, relaxed); DOS at the Fermi energy = 16.0 states/eV/f.u.; mass density = 5.27 g/cm3; E_form = -0.4293 eV per atom
1.0
9.949 0.000 0.000
-3.316 9.380 0.000
-3.316 -4.690 8.123
Ba Sn Pd
12 1 6
direct
0.487 0.180 0.307
0.513 0.820 0.693
0.693 0.513 0.820
0.693 0.873 0.180
0.127 0.820 0.307
0.180 0.307 0.487
0.307 0.487 0.180
0.820 0.693 0.513
0.820 0.307 0.127
0.307 0.127 0.820
0.873 0.180 0.693
0.180 0.693 0.873
0.000 0.000 0.000
0.380 0.500 0.880
0.880 0.380 0.500
0.120 0.620 0.500
0.620 0.500 0.120
0.500 0.880 0.380
0.500 0.120 0.620